Crystalline AlVSbO6 at its relaxed geometry, computed with GGA+U.

total energy = -6.934 eV/atom
total magnetic moment = 2.00 Bohr magnetons per cell

a = 4.982 Å, b = 4.982 Å, c = 8.681 Å
α = 90.00°, β = 90.00°, γ = 120.00°
Fractional positions:
Al1 0.333 0.667 0.250
Al2 0.667 0.333 0.750
V1 0.000 0.000 0.000
V2 0.000 0.000 0.500
Sb1 0.667 0.333 0.250
Sb2 0.333 0.667 0.750
O1 0.659 0.673 0.129
O2 0.014 0.341 0.129
O3 0.341 0.014 0.629
O4 0.986 0.659 0.871
O5 0.327 0.341 0.371
O6 0.014 0.673 0.371
O7 0.673 0.014 0.871
O8 0.659 0.986 0.371
O9 0.986 0.327 0.629
O10 0.327 0.986 0.129
O11 0.673 0.659 0.629
O12 0.341 0.327 0.871